Entry 1:
This record from Alexandria describes a geometry-optimized GdLuBeRh structure. The functional is PBE-GGA.

POSCAR file:
```
GdLuBeRh
1.0
0.0000 3.4063 3.4063
3.4063 0.0000 3.4063
3.4063 3.4063 0.0000
Gd Lu Be Rh
1 1 1 1
Direct
0.0000 0.0000 0.0000 Gd
0.5000 0.5000 0.5000 Lu
0.7500 0.7500 0.7500 Be
0.2500 0.2500 0.2500 Rh
```

Calculated values
M_tot in μB per cell: 7.1
Symmetry: No. 216
Energy relative to the elements in kJ per mole of atoms: -37.1
Density of states at the Fermi level in states/eV per cell: 1.743


Entry 2:
This record from Alexandria describes a geometry-optimized GdLuBeRu structure. The functional is PBE-GGA.

POSCAR file:
```
GdLuBeRu
1.0
0.0000 3.3927 3.3927
3.3927 0.0000 3.3927
3.3927 3.3927 0.0000
Gd Lu Be Ru
1 1 1 1
Direct
0.0000 0.0000 0.0000 Gd
0.5000 0.5000 0.5000 Lu
0.7500 0.7500 0.7500 Be
0.2500 0.2500 0.2500 Ru
```

Calculated values
M_tot in μB per cell: 7.0
Symmetry: No. 216
Energy relative to the elements in kJ per mole of atoms: -15.2
Density of states at the Fermi level in states/eV per cell: 3.676


Entry 3:
This record from Alexandria describes a geometry-optimized GdLuBeZn structure. The functional is PBE-GGA.

POSCAR file:
```
GdLuBeZn
1.0
0.0000 3.4750 3.4750
3.4750 0.0000 3.4750
3.4750 3.4750 0.0000
Gd Lu Be Zn
1 1 1 1
Direct
0.0000 0.0000 0.0000 Gd
0.5000 0.5000 0.5000 Lu
0.2500 0.2500 0.2500 Be
0.7500 0.7500 0.7500 Zn
```

Calculated values
M_tot in μB per cell: 7.6
Symmetry: No. 216
Energy relative to the elements in kJ per mole of atoms: -10.9
Density of states at the Fermi level in states/eV per cell: 2.667


Entry 4:
This record from Alexandria describes a geometry-optimized Gd2MgBe structure. The functional is PBE-GGA.

POSCAR file:
```
Gd2MgBe
1.0
0.0000 3.6333 3.6333
3.6333 0.0000 3.6333
3.6333 3.6333 0.0000
Gd Mg Be
2 1 1
Direct
0.2500 0.2500 0.2500 Gd
0.7500 0.7500 0.7500 Gd
0.0000 0.0000 0.0000 Mg
0.5000 0.5000 0.5000 Be
```

Calculated values
M_tot in μB per cell: 14.9
Symmetry: No. 225
Energy relative to the elements in kJ per mole of atoms: 8.3
Density of states at the Fermi level in states/eV per cell: 3.745


- Look up the density of states at the Fermi level of the third one.
  2.667 states/eV per cell